InTe3P SCAN PBEsol geometry; space group = No. 221; formation energy from raw total energies = 312 meV/atom; total magnetic moment = 0.000 μB/atom
1.0
5.2365 0.0000 0.0000
0.0000 5.2365 0.0000
0.0000 0.0000 5.2365
In Te P
1 3 1
direct
0.0000 0.0000 0.0000
0.0000 0.5000 0.5000
0.5000 0.0000 0.5000
0.5000 0.5000 0.0000
0.5000 0.5000 0.5000

=====

InTeP2 SCAN PBEsol geometry; space group = No. 166; formation energy from raw total energies = 182 meV/atom; total magnetic moment = 0.000 μB/atom; energy above the lowest structure with this stoichiometry = 114.7 meV per atom
1.0
3.9428 0.0000 0.0000
-1.9714 3.4145 0.0000
0.0000 0.0000 19.0102
In Te P
3 3 6
direct
0.0000 0.0000 0.0000
0.3333 0.6667 0.6667
0.6667 0.3333 0.3333
0.0000 0.0000 0.5000
0.3333 0.6667 0.1667
0.6667 0.3333 0.8333
0.0000 0.0000 0.2519
0.0000 0.0000 0.7481
0.3333 0.6667 0.4148
0.3333 0.6667 0.9186
0.6667 0.3333 0.0814
0.6667 0.3333 0.5852

=====

InTeP2 SCAN PBEsol geometry; space group = No. 47; formation energy from raw total energies = 536 meV/atom; total magnetic moment = 0.000 μB/atom; energy above the lowest structure with this stoichiometry = 468.1 meV per atom
1.0
3.7777 0.0000 0.0000
0.0000 3.8350 0.0000
0.0000 0.0000 6.0013
In Te P
1 1 2
direct
0.0000 0.0000 0.0000
0.0000 0.5000 0.5000
0.5000 0.0000 0.5000
0.5000 0.5000 0.0000

=====

Q: Look up the total magnetic moment of the first one.
A: 0.000 μB/atom

=====

Q: Number 3 is which compound?
A: InTeP2

=====

Q: What is the formula in the first record?
A: InTe3P

=====

Q: Which value of formation energy from raw total energies does entry 2 give?
A: 182 meV/atom